No. 1
## VSeNO2 (GGA+U)

Data for a relaxed VSeNO2 crystal.

abc: 3.6711 3.6711 4.3529
angles: 90.00 90.00 90.00
Atoms (fractional coordinates):
O1 0.0000 0.5000 0.0000
O2 0.5000 0.0000 0.0000
V1 0.0000 0.0000 0.0000
N1 0.0000 0.0000 0.5000
Se1 0.5000 0.5000 0.5000

Output
Space-group type: P4/mmm

No. 2
## Co2HgF (GGA+U)

Data for a relaxed Co2HgF crystal.

abc: 4.7036 4.7036 7.4891
angles: 71.70 71.70 90.00
Atoms (fractional coordinates):
Hg1 0.0000 0.0000 0.0000
Hg2 0.7500 0.2500 0.5000
F1 0.5000 0.5000 0.0000
F2 0.2500 0.7500 0.5000
Co1 0.3750 0.6248 0.7500
Co2 0.3748 0.6250 0.2500
Co3 0.8750 0.6252 0.7500
Co4 0.3752 0.1250 0.2500

Output
Space-group type: I4_1/amd

no.,E (eV/atom)
1,-5.92
2,-2.88